Compound: TbBe2Ir2
Source: Alexandria
Functional: PBE
Structure: relaxed

The energy above the most stable polymorph in this dataset is 30.6 meV/atom. For the calculated volume, the calculation gives 14.912 Å³/atom.

Cell: 4.044 4.044 9.556 Å, 102.22 102.22 90.00°
Sites, in units of the cell vectors:
Tb 0.621 0.621 0.243
Tb 0.379 0.379 0.757
Be 0.750 0.250 0.500
Be 0.935 0.935 0.870
Be 0.065 0.065 0.130
Be 0.250 0.750 0.500
Ir 0.000 0.500 0.000
Ir 0.191 0.191 0.382
Ir 0.500 0.000 0.000
Ir 0.809 0.809 0.618